[1]
8
Lattice="4.5950 0.0000 0.0000 0.0000 4.5007 0.0000 -0.9405 0.0000 9.7417" Properties=species:S:1:pos:R:3 comment="GGA-PBE NaGa2Bi, optimized geometry" ef_ev_per_fu=-0.475 crystal_system=monoclinic pbc="T T T"
Na 0.6405 1.1252 2.5616
Na 3.0140 3.3755 7.1801
Ga 0.5303 3.3755 4.8658
Ga 0.9001 1.1252 6.3174
Ga 2.7544 3.3755 3.4243
Ga 3.1242 1.1252 4.8759
Bi 0.4024 1.1252 9.1947
Bi 3.2522 3.3755 0.5470

=====

[2]
8
Lattice="3.7101 -4.1779 0.0000 3.7101 4.1779 0.0000 0.0000 0.0000 4.1002" Properties=species:S:1:pos:R:3 comment="GGA-PBE Re3Cl, optimized geometry" e_above_lowest_polymorph_mev_per_atom=531 formation_energy_uncorrected_mev_per_atom=949 crystal_system=orthorhombic pbc="T T T"
Re 1.4246 0.7603 3.0752
Re 3.7101 2.4065 3.0752
Re 1.4246 -0.7603 1.0251
Re 5.9957 0.7603 3.0752
Re 3.7101 -2.4065 1.0251
Re 5.9957 -0.7603 1.0251
Cl 3.7101 0.9633 1.0251
Cl 3.7101 -0.9633 3.0752

=====

[3]
5
Lattice="4.8412 0.0000 0.0000 0.0000 4.8412 0.0000 0.0000 0.0000 4.3719" Properties=species:S:1:pos:R:3 comment="GGA-PBE AlNiSb2N, optimized geometry" formation_energy_uncorrected_mev_per_atom=1048 crystal_system=tetragonal pbc="T T T"
Al 0.0000 0.0000 0.0000
Ni 0.0000 0.0000 2.1859
Sb 0.0000 2.4206 2.1859
Sb 2.4206 0.0000 2.1859
N 2.4206 2.4206 0.0000

=====

[4]
10
Lattice="0.0000 7.6367 2.7324 4.5713 0.0000 2.7324 4.5713 7.6367 0.0000" Properties=species:S:1:pos:R:3 comment="GGA-PBE Sc2Re3, optimized geometry" ef_ev_per_fu=0.302 e_above_lowest_polymorph_mev_per_atom=0 crystal_system=orthorhombic pbc="T T T"
Sc 5.2848 3.0810 2.7324
Sc 6.1434 6.8994 4.0986
Sc 3.8578 12.1924 2.7324
Sc 2.9992 8.3741 4.0986
Re 4.5713 7.6367 1.2545
Re 3.9219 5.7067 2.7291
Re 2.2856 3.8184 2.6207
Re 7.5063 9.5250 4.0953
Re 5.2206 9.5668 2.7291
Re 6.2076 13.3851 4.0953

=====

[5]
5
Lattice="5.8344 0.0000 0.0000 0.0000 5.8344 0.0000 0.0000 0.0000 3.9134" Properties=species:S:1:pos:R:3 comment="GGA-PBE SnTe2SeN, optimized geometry" e_above_lowest_polymorph_mev_per_atom=188 formation_energy_uncorrected_mev_per_atom=926 crystal_system=tetragonal pbc="T T T"
Sn 0.0000 0.0000 0.0000
Te 0.0000 2.9172 0.0000
Te 2.9172 0.0000 0.0000
Se 2.9172 2.9172 1.9567
N 0.0000 0.0000 1.9567

=====

[6]
8
Lattice="3.8296 -3.9674 0.0000 3.8296 3.9674 0.0000 0.0000 0.0000 3.8929" Properties=species:S:1:pos:R:3 comment="GGA-PBE Ru5W3, optimized geometry" ef_ev_per_fu=0.208 e_above_lowest_polymorph_mev_per_atom=0 crystal_system=orthorhombic pbc="T T T"
Ru 0.0000 0.0000 0.0000
Ru 1.9148 1.9837 0.0000
Ru 1.9481 0.0000 1.9465
Ru 1.9148 -1.9837 0.0000
Ru 5.7111 0.0000 1.9465
W 3.8296 2.1143 1.9465
W 3.8296 0.0000 0.0000
W 3.8296 -2.1143 1.9465

=====

Let's list M_tot in order: 0.0; 0.0; 0.0; 0.0; 0.5; 0.0 μB/f.u..
Let's list total energy in order: -2.9321; -8.8483; -4.1711; -9.9411; -3.4934; -10.6289 eV/atom.
Let's list calculated density in order: 6.12; 15.52; 5.56; 11.29; 5.82; 14.84 g/cm3.